Entry 1:
Density functional theory data (PBE) for a relaxed NaErPdSe3 crystal.

Cell: 8.1289 4.0432 9.3236 Å, 90.00 103.31 90.00°
With the nearest neighbours (Å) after each atom.
Space group P2_1/m (No. 11)
Symmetry-distinct sites (fractional):
Na: 0.2051 0.2500 0.2359 (multiplicity 2)  4 Se 2.96-3.02
Er: 0.3195 0.7500 0.8525 (multiplicity 2)  6 Se 2.82-2.91
Pd: 0.0938 0.2500 0.5809 (multiplicity 2)  4 Se 2.46-2.72
Se: 0.0748 0.2500 0.8553 (multiplicity 2)  1 Pd 2.60, 2 Er 2.84
Se: 0.2454 0.7500 0.5322 (multiplicity 2)  3 Pd 2.46-2.72
Se: 0.4384 0.7500 0.1612 (multiplicity 2)  3 Er 2.82-2.85, 2 Na 2.96

Computed properties:
E (Ry per atom): -0.344
Relative energy among the computed polymorphs (meV per atom): 0.0


Entry 2:
Density functional theory data (PBE) for a relaxed Tm2Sn6Pd crystal.

Cell: 4.3959 22.7929 4.4519 Å, 90.00 90.00 90.00°
With the nearest neighbours (Å) after each atom.
Space group Cmmm (No. 65)
Symmetry-distinct sites (fractional):
Tm: 0.0000 0.1801 0.0000 (multiplicity 4)  10 Sn 3.18-3.44
Sn: 0.0000 0.0759 0.5000 (multiplicity 4)  2 Pd 2.80, 4 Sn 3.13
Sn: 0.0000 0.2950 0.5000 (multiplicity 4)  2 Sn 3.01, 4 Tm 3.18
Sn: 0.0000 0.4255 0.0000 (multiplicity 4)  2 Pd 2.80, 4 Sn 3.13
Pd: 0.0000 0.5000 0.5000 (multiplicity 2)  8 Sn 2.80

Computed properties:
E (Ry per atom): -0.348


Entry 3:
Density functional theory data (PBE) for a relaxed SrLi2PAu crystal.

Cell: 4.1962 4.1962 11.4462 Å, 90.00 90.00 90.00°
With the nearest neighbours (Å) after each atom.
Space group I4mm (No. 107)
Symmetry-distinct sites (fractional):
Sr: 0.0000 0.0000 0.0000 (multiplicity 2)  4 P 3.18, 4 Li 3.27, 4 Au 3.31
Li: 0.0000 0.5000 0.2192 (multiplicity 4)  2 P 2.51, 2 Au 2.73
P: 0.0000 0.0000 0.5991 (multiplicity 2)  4 Li 2.51, 1 Au 2.61
Au: 0.0000 0.0000 0.3714 (multiplicity 2)  1 P 2.61, 4 Li 2.73

Computed properties:
E (Ry per atom): -0.262


Entry 4:
Density functional theory data (PBE) for a relaxed TaCoHgB crystal.

Cell: 6.1307 6.1307 6.1307 Å, 90.00 90.00 90.00°
With the nearest neighbours (Å) after each atom.
Space group F-43m (No. 216)
Symmetry-distinct sites (fractional):
Ta: 0.0000 0.0000 0.0000 (multiplicity 4)  4 Hg 2.65, 4 Co 2.65
Co: 0.2500 0.2500 0.7500 (multiplicity 4)  4 Ta 2.65, 4 B 2.65
Hg: 0.2500 0.2500 0.2500 (multiplicity 4)  4 Ta 2.65, 4 B 2.65
B: 0.0000 0.0000 0.5000 (multiplicity 4)  4 Hg 2.65, 4 Co 2.65

Computed properties:
E (Ry per atom): -0.397
Relative energy among the computed polymorphs (meV per atom): 221.8


Repeat the third record exactly.
Density functional theory data (PBE) for a relaxed SrLi2PAu crystal.

Cell: 4.1962 4.1962 11.4462 Å, 90.00 90.00 90.00°
With the nearest neighbours (Å) after each atom.
Space group I4mm (No. 107)
Symmetry-distinct sites (fractional):
Sr: 0.0000 0.0000 0.0000 (multiplicity 2)  4 P 3.18, 4 Li 3.27, 4 Au 3.31
Li: 0.0000 0.5000 0.2192 (multiplicity 4)  2 P 2.51, 2 Au 2.73
P: 0.0000 0.0000 0.5991 (multiplicity 2)  4 Li 2.51, 1 Au 2.61
Au: 0.0000 0.0000 0.3714 (multiplicity 2)  1 P 2.61, 4 Li 2.73

Computed properties:
E (Ry per atom): -0.262